No. 1
This record from Alexandria via LeMat-Bulk describes a crystal of IrOsIO2 relaxed with PBEsol. The functional is meta-GGA SCAN.

Calculated values
- ΔE_f (raw): 0.24 eV/atom
- Space-group type: P4/mmm
- Energy: -38.19 eV/atom

Geometry as POSCAR:
```
IrOsIO2
1.0
3.708 0.000 0.000
0.000 3.708 0.000
0.000 0.000 6.136
Ir Os O I
1 1 2 1
direct
0.500 0.500 0.500 Ir
0.000 0.000 0.000 Os
0.000 0.500 0.000 O
0.500 0.000 0.000 O
0.000 0.000 0.500 I
```

---

No. 2
This record from Alexandria via LeMat-Bulk describes a crystal of PIrI2O relaxed with PBEsol. The functional is meta-GGA SCAN.

Calculated values
- ΔE_f (raw): 0.48 eV/atom
- Space-group type: P4/mmm
- Energy: -31.77 eV/atom

Geometry as POSCAR:
```
PIrI2O
1.0
3.694 0.000 0.000
0.000 5.448 0.000
0.000 0.000 5.448
P Ir I O
1 1 2 1
direct
0.500 0.500 0.500 P
0.000 0.000 0.000 Ir
0.000 0.000 0.500 I
0.000 0.500 0.000 I
0.500 0.000 0.000 O
```

---

No. 3
This record from Alexandria via LeMat-Bulk describes a crystal of IrPbIO2 relaxed with PBEsol. The functional is meta-GGA SCAN.

Calculated values
- ΔE_f (raw): 0.65 eV/atom
- Space-group type: P4/mmm
- Energy: -38.57 eV/atom

Geometry as POSCAR:
```
IrPbIO2
1.0
-2.767 -1.178 2.681
-0.954 -3.125 -2.357
4.577 -3.724 3.086
Ir O Pb I
1 2 1 1
direct
0.500 0.500 0.500 Ir
0.000 0.500 0.000 O
0.500 0.000 0.000 O
0.000 0.000 0.000 Pb
0.000 0.000 0.500 I
```

---

No. 4
This record from Alexandria via LeMat-Bulk describes a crystal of RbIrI2O relaxed with PBEsol. The functional is meta-GGA SCAN.

Calculated values
- ΔE_f (raw): -0.61 eV/atom
- Space-group type: P4/mmm
- Energy: -34.92 eV/atom

Geometry as POSCAR:
```
RbIrI2O
1.0
3.761 0.000 0.000
0.000 5.847 0.000
0.000 0.000 5.847
Rb Ir I O
1 1 2 1
direct
0.500 0.500 0.500 Rb
0.000 0.000 0.000 Ir
0.000 0.500 0.000 I
0.000 0.000 0.500 I
0.500 0.000 0.000 O
```

---

No. 5
This record from Alexandria via LeMat-Bulk describes a crystal of ReIrIO2 relaxed with PBEsol. The functional is meta-GGA SCAN.

Calculated values
- ΔE_f (raw): 0.83 eV/atom
- Space-group type: P4/mmm
- Energy: -37.45 eV/atom

Geometry as POSCAR:
```
ReIrIO2
1.0
3.736 0.000 0.000
0.000 3.736 0.000
0.000 0.000 7.382
O I Ir Re
2 1 1 1
direct
0.000 0.500 0.000 O
0.500 0.000 0.000 O
0.000 0.000 0.500 I
0.000 0.000 0.000 Ir
0.500 0.500 0.500 Re
```

---

No. 6
This record from Alexandria via LeMat-Bulk describes a crystal of ScIrI2O relaxed with PBEsol. The functional is meta-GGA SCAN.

Calculated values
- ΔE_f (raw): -0.21 eV/atom
- Space-group type: P4/mmm
- Energy: -33.22 eV/atom

Geometry as POSCAR:
```
ScIrI2O
1.0
-3.009 -0.992 -1.973
-1.014 -4.078 3.597
-3.112 3.435 3.018
I Ir Sc O
2 1 1 1
direct
0.000 0.000 0.500 I
0.000 0.500 0.000 I
0.000 0.000 0.000 Ir
0.500 0.500 0.500 Sc
0.500 0.000 0.000 O
```

---

No. 7
This record from Alexandria via LeMat-Bulk describes a crystal of SnIrI2O relaxed with PBEsol. The functional is meta-GGA SCAN.

Calculated values
- ΔE_f (raw): 0.00 eV/atom
- Space-group type: P4/mmm
- Energy: -37.35 eV/atom

Geometry as POSCAR:
```
SnIrI2O
1.0
3.747 0.000 0.000
0.000 5.629 0.000
0.000 0.000 5.629
I Ir O Sn
2 1 1 1
direct
0.000 0.500 0.000 I
0.000 0.000 0.500 I
0.000 0.000 0.000 Ir
0.500 0.000 0.000 O
0.500 0.500 0.500 Sn
```

---

No. 8
This record from Alexandria via LeMat-Bulk describes a crystal of SrIrI2O relaxed with PBEsol. The functional is meta-GGA SCAN.

Calculated values
- ΔE_f (raw): 0.46 eV/atom
- Space-group type: P4/mmm
- Energy: -34.16 eV/atom

Geometry as POSCAR:
```
SrIrI2O
1.0
4.110 0.000 0.000
0.000 6.108 0.000
0.000 0.000 6.108
Sr Ir O I
1 1 1 2
direct
0.000 0.000 0.000 Sr
0.500 0.500 0.500 Ir
0.500 0.000 0.000 O
0.000 0.000 0.500 I
0.000 0.500 0.000 I
```